Density functional theory data (GGA-PBE) for a geometry-optimized KMnNi2 structure.

Lattice parameters (Å, degrees): 6.4355 6.4355 6.4355 90.00 90.00 90.00
Atoms (fractional coordinates):
1 K 0.0000 0.0000 0.0000
2 K 0.0000 0.5000 0.5000
3 K 0.5000 0.0000 0.5000
4 K 0.5000 0.5000 0.0000
5 Mn 0.2500 0.2500 0.2500
6 Mn 0.2500 0.7500 0.7500
7 Mn 0.7500 0.2500 0.7500
8 Mn 0.7500 0.7500 0.2500
9 Ni 0.0000 0.0000 0.5000
10 Ni 0.0000 0.5000 0.0000
11 Ni 0.2500 0.2500 0.7500
12 Ni 0.2500 0.7500 0.2500
13 Ni 0.5000 0.0000 0.0000
14 Ni 0.5000 0.5000 0.5000
15 Ni 0.7500 0.2500 0.2500
16 Ni 0.7500 0.7500 0.7500

Properties
- E_form (eV/atom) = 1.030
- E above lowest polymorph (eV/atom) = 0.5979
- SG = F-43m
- spin magnetization (μB per formula unit) = 4.6

=====

Density functional theory data (GGA-PBE) for a geometry-optimized K2MnNi structure.

Lattice parameters (Å, degrees): 5.2967 5.2967 7.4790 90.00 90.00 90.00
Atoms (fractional coordinates):
1 K 0.0000 0.0000 0.0000
2 K 0.0000 0.5000 0.2500
3 K 0.5000 0.0000 0.7500
4 K 0.5000 0.5000 0.5000
5 Mn 0.0000 0.5000 0.7500
6 Mn 0.5000 0.0000 0.2500
7 Ni 0.0000 0.0000 0.5000
8 Ni 0.5000 0.5000 0.0000

Properties
- E_form (eV/atom) = 0.931
- E above lowest polymorph (eV/atom) = 0.4276
- SG = I-4m2
- spin magnetization (μB per formula unit) = 4.7

=====

Density functional theory data (GGA-PBE) for a geometry-optimized K2MnNi structure.

Lattice parameters (Å, degrees): 4.7655 5.0021 5.9536 90.00 100.77 90.00
Atoms (fractional coordinates):
1 K 0.1894 0.0000 0.2923
2 K 0.8106 0.0000 0.7077
3 Mn 0.5000 0.5000 0.0000
4 Ni 0.0000 0.5000 0.0000

Properties
- E_form (eV/atom) = 0.842
- E above lowest polymorph (eV/atom) = 0.3392
- SG = P2/m
- spin magnetization (μB per formula unit) = 4.7

=====

Density functional theory data (GGA-PBE) for a geometry-optimized K2MnNi structure.

Lattice parameters (Å, degrees): 7.9331 7.9331 7.9331 90.00 90.00 90.00
Atoms (fractional coordinates):
1 K 0.2500 0.2500 0.2500
2 K 0.2500 0.2500 0.7500
3 K 0.2500 0.7500 0.2500
4 K 0.2500 0.7500 0.7500
5 K 0.7500 0.2500 0.2500
6 K 0.7500 0.2500 0.7500
7 K 0.7500 0.7500 0.2500
8 K 0.7500 0.7500 0.7500
9 Mn 0.0000 0.0000 0.0000
10 Mn 0.0000 0.5000 0.5000
11 Mn 0.5000 0.0000 0.5000
12 Mn 0.5000 0.5000 0.0000
13 Ni 0.0000 0.0000 0.5000
14 Ni 0.0000 0.5000 0.0000
15 Ni 0.5000 0.0000 0.0000
16 Ni 0.5000 0.5000 0.5000

Properties
- E_form (eV/atom) = 1.098
- E above lowest polymorph (eV/atom) = 0.5953
- SG = Fm-3m
- spin magnetization (μB per formula unit) = 5.1

=====

Density functional theory data (GGA-PBE) for a geometry-optimized KMnNi2 structure.

Lattice parameters (Å, degrees): 2.8313 4.6108 5.0003 90.00 90.00 90.00
Atoms (fractional coordinates):
1 K 0.0000 0.0000 0.0000
2 Mn 0.5000 0.0000 0.5000
3 Ni 0.0000 0.5000 0.5000
4 Ni 0.5000 0.5000 0.0000

Properties
- E_form (eV/atom) = 1.032
- E above lowest polymorph (eV/atom) = 0.6003
- SG = Pmmm
- spin magnetization (μB per formula unit) = 4.9

=====

Density functional theory data (GGA-PBE) for a geometry-optimized KMn3Ni structure.

Lattice parameters (Å, degrees): 4.6320 4.6320 4.6320 90.00 90.00 90.00
Atoms (fractional coordinates):
1 K 0.0000 0.0000 0.0000
2 Mn 0.0000 0.0000 0.5000
3 Mn 0.0000 0.5000 0.0000
4 Mn 0.5000 0.0000 0.0000
5 Ni 0.5000 0.5000 0.5000

Properties
- E_form (eV/atom) = 2.402
- E above lowest polymorph (eV/atom) = 1.6058
- SG = Pm-3m
- spin magnetization (μB per formula unit) = 12.1

=====

Density functional theory data (GGA-PBE) for a geometry-optimized KMnNi2 structure.

Lattice parameters (Å, degrees): 4.8483 4.8483 2.7659 90.00 90.00 90.00
Atoms (fractional coordinates):
1 K 0.0000 0.0000 0.0000
2 Mn 0.5000 0.5000 0.0000
3 Ni 0.0000 0.5000 0.5000
4 Ni 0.5000 0.0000 0.5000

Properties
- E_form (eV/atom) = 0.865
- E above lowest polymorph (eV/atom) = 0.4336
- SG = P4/mmm
- spin magnetization (μB per formula unit) = 4.5

=====

Density functional theory data (GGA-PBE) for a geometry-optimized K2MnNi structure.

Lattice parameters (Å, degrees): 12.0287 12.0287 4.6317 90.00 90.00 90.00
Atoms (fractional coordinates):
1 K 0.0776 0.2500 0.1250
2 K 0.2500 0.5776 0.3750
3 K 0.2500 0.9224 0.8750
4 K 0.4224 0.2500 0.6250
5 K 0.5776 0.7500 0.6250
6 K 0.7500 0.0776 0.8750
7 K 0.7500 0.4224 0.3750
8 K 0.9224 0.7500 0.1250
9 Mn 0.0000 0.0000 0.5000
10 Mn 0.0000 0.5000 0.7500
11 Mn 0.5000 0.0000 0.2500
12 Mn 0.5000 0.5000 0.0000
13 Ni 0.0000 0.0000 0.0000
14 Ni 0.0000 0.5000 0.2500
15 Ni 0.5000 0.0000 0.7500
16 Ni 0.5000 0.5000 0.5000

Properties
- E_form (eV/atom) = 0.736
- E above lowest polymorph (eV/atom) = 0.2334
- SG = I-42d
- spin magnetization (μB per formula unit) = 4.9

=====

Density functional theory data (GGA-PBE) for a geometry-optimized KMnNi2 structure.

Lattice parameters (Å, degrees): 6.1732 7.5632 2.7569 90.00 90.00 90.00
Atoms (fractional coordinates):
1 K 0.0000 0.0000 0.0000
2 K 0.5000 0.5000 0.0000
3 Mn 0.0000 0.5000 0.0000
4 Mn 0.5000 0.0000 0.0000
5 Ni 0.2500 0.2500 0.5000
6 Ni 0.2500 0.7500 0.5000
7 Ni 0.7500 0.2500 0.5000
8 Ni 0.7500 0.7500 0.5000

Properties
- E_form (eV/atom) = 0.858
- E above lowest polymorph (eV/atom) = 0.4257
- SG = Cmmm
- spin magnetization (μB per formula unit) = 4.4

=====

Density functional theory data (GGA-PBE) for a geometry-optimized K2MnNi structure.

Lattice parameters (Å, degrees): 3.3079 3.7029 10.1731 90.00 98.72 90.00
Atoms (fractional coordinates):
1 K 0.0000 0.0000 0.0000
2 K 0.2552 0.5000 0.5843
3 Mn 0.6216 0.5000 0.2771
4 Ni 0.1371 0.0000 0.3098

Properties
- E_form (eV/atom) = 0.515
- E above lowest polymorph (eV/atom) = 0.0116
- SG = Pm
- spin magnetization (μB per formula unit) = 4.5

=====

Density functional theory data (GGA-PBE) for a geometry-optimized KMn3Ni structure.

Lattice parameters (Å, degrees): 4.7991 4.7991 4.7991 90.00 90.00 90.00
Atoms (fractional coordinates):
1 K 0.0000 0.0000 0.0000
2 Mn 0.0000 0.5000 0.5000
3 Mn 0.5000 0.0000 0.5000
4 Mn 0.5000 0.5000 0.0000
5 Ni 0.5000 0.5000 0.5000

Properties
- E_form (eV/atom) = 0.796
- E above lowest polymorph (eV/atom) = 0.0000
- SG = Pm-3m
- spin magnetization (μB per formula unit) = 13.5

=====

Density functional theory data (GGA-PBE) for a geometry-optimized KMnNi2 structure.

Lattice parameters (Å, degrees): 6.4494 6.4494 6.4494 90.00 90.00 90.00
Atoms (fractional coordinates):
1 K 0.0000 0.0000 0.0000
2 K 0.0000 0.5000 0.5000
3 K 0.5000 0.0000 0.5000
4 K 0.5000 0.5000 0.0000
5 Mn 0.0000 0.0000 0.5000
6 Mn 0.0000 0.5000 0.0000
7 Mn 0.5000 0.0000 0.0000
8 Mn 0.5000 0.5000 0.5000
9 Ni 0.2500 0.2500 0.2500
10 Ni 0.2500 0.2500 0.7500
11 Ni 0.2500 0.7500 0.2500
12 Ni 0.2500 0.7500 0.7500
13 Ni 0.7500 0.2500 0.2500
14 Ni 0.7500 0.2500 0.7500
15 Ni 0.7500 0.7500 0.2500
16 Ni 0.7500 0.7500 0.7500

Properties
- E_form (eV/atom) = 0.942
- E above lowest polymorph (eV/atom) = 0.5101
- SG = Fm-3m
- spin magnetization (μB per formula unit) = 4.5

=====

Density functional theory data (GGA-PBE) for a geometry-optimized KMnNiPb2 structure.

Lattice parameters (Å, degrees): 5.1910 5.1910 5.6977 90.00 90.00 90.00
Atoms (fractional coordinates):
1 K 0.0000 0.0000 0.0000
2 Mn 0.0000 0.0000 0.5000
3 Ni 0.5000 0.5000 0.0000
4 Pb 0.0000 0.5000 0.5000
5 Pb 0.5000 0.0000 0.5000

Properties
- E_form (eV/atom) = 0.917
- SG = P4/mmm
- spin magnetization (μB per formula unit) = 3.2

=====

Density functional theory data (GGA-PBE) for a geometry-optimized K2MnNiS4 structure.

Lattice parameters (Å, degrees): 13.0717 11.5959 7.0661 85.27 62.14 32.60
Atoms (fractional coordinates):
1 K 0.0543 0.0543 0.6957
2 K 0.3043 0.3043 0.9457
3 K 0.6957 0.6957 0.0543
4 K 0.9457 0.9457 0.3043
5 Mn 0.3750 0.3750 0.3750
6 Mn 0.6250 0.6250 0.6250
7 Ni 0.1250 0.1250 0.1250
8 Ni 0.8750 0.8750 0.8750
9 S 0.0142 0.3445 0.4251
10 S 0.2838 0.5749 0.6555
11 S 0.3445 0.0142 0.7161
12 S 0.4251 0.7161 0.0142
13 S 0.5749 0.2838 0.9858
14 S 0.6555 0.9858 0.2838
15 S 0.7161 0.4251 0.3445
16 S 0.9858 0.6555 0.5749

Properties
- ΔE_f (raw) (eV/f.u.) = -6.49
- SG = Fddd
- spin magnetization (μB per formula unit) = 1.1